Material: CeZn9Ir2
Method: DFT, GGA-PBE
State: optimized geometry

The space group is P6/mmm (No. 191) and the conventional cell measures 8.7478, 8.7478 and 2.9664 Å, with angles of 90.00, 90.00 and 120.00 degrees. The inequivalent atoms are Ce at (0.0000, 0.0000, 0.0000), Zn at (0.0000, 0.5000, 0.0000), Zn at (0.1869, 0.3738, 0.5000) and Ir at (0.3333, 0.6667, 0.0000).

Its total magnetic moment is 0.497 μB per formula unit. The formation energy is -190 meV/atom.